CsTbGeSe3 | GGA-PBE | optimized geometry

Cell and atoms, written as POSCAR:
```
CsTbGeSe3
1.0
4.110 0.000 0.000
0.000 9.254 -0.344
0.000 -3.940 10.910
Se Cs Ge Tb
6 2 2 2
Direct
0.750 0.405 0.102
0.250 0.122 0.776
0.250 0.595 0.898
0.750 0.319 0.582
0.750 0.878 0.224
0.250 0.681 0.418
0.250 0.236 0.278
0.750 0.764 0.722
0.750 0.874 0.437
0.250 0.126 0.563
0.750 0.365 0.846
0.250 0.635 0.154
```

Summary:
Symmetry: P2_1/m, No. 11
Crystal system: monoclinic
Uncorrected formation energy in eV/atom: -1.2646
Density in Mg/m³: 4.878

CsTbGeSe4 | GGA-PBE | optimized geometry

Cell and atoms, written as POSCAR:
```
CsTbGeSe4
1.0
6.775 0.000 -0.172
0.000 7.133 0.000
-2.889 0.000 9.453
Ge Se Cs Tb
2 8 2 2
Direct
0.779 0.250 0.661
0.221 0.750 0.339
0.984 0.492 0.304
0.442 0.750 0.577
0.558 0.250 0.423
0.016 0.992 0.696
0.984 0.008 0.304
0.016 0.508 0.696
0.576 0.250 0.815
0.424 0.750 0.185
0.252 0.250 0.059
0.748 0.750 0.941
0.775 0.750 0.452
0.225 0.250 0.548
```

Summary:
Symmetry: P2_1/m, No. 11
Crystal system: monoclinic
Uncorrected formation energy in eV/atom: -1.1481
Density in Mg/m³: 4.984

Cs2GeTeSe4 | GGA-PBE | optimized geometry

Cell and atoms, written as POSCAR:
```
Cs2GeTeSe4
1.0
-2.525 6.765 -0.929
-4.927 -3.881 3.697
6.278 0.299 3.674
Se Cs Te Ge
4 2 1 1
Direct
0.337 0.852 0.796
0.944 0.485 0.148
0.056 0.204 0.541
0.663 0.459 0.515
0.000 0.000 0.000
0.500 0.750 0.250
0.500 0.250 0.750
0.000 0.500 0.500
```

Summary:
Symmetry: I-4, No. 82
Crystal system: tetragonal
Uncorrected formation energy in eV/atom: -0.5721
Density in Mg/m³: 4.372

Cs2GeTeSe | GGA-PBE | optimized geometry

Cell and atoms, written as POSCAR:
```
Cs2GeTeSe
1.0
4.627 0.000 0.000
0.000 9.277 0.540
0.000 -3.281 10.890
Te Cs Ge Se
2 4 2 2
Direct
0.750 0.395 0.709
0.250 0.605 0.291
0.250 0.193 0.926
0.750 0.807 0.074
0.750 0.732 0.579
0.250 0.268 0.421
0.750 0.455 0.160
0.250 0.545 0.840
0.250 0.797 0.818
0.750 0.203 0.182
```

Summary:
Symmetry: P2_1/m, No. 11
Crystal system: monoclinic
Uncorrected formation energy in eV/atom: -0.7700
Density in Mg/m³: 3.806

Cs2ThGe2Se6 | GGA-PBE | optimized geometry

Cell and atoms, written as POSCAR:
```
Cs2ThGe2Se6
1.0
7.752 0.000 0.000
-3.876 6.663 -0.351
0.000 -4.263 7.585
Ge Se Cs Th
2 6 2 1
Direct
0.038 0.077 0.169
0.962 0.923 0.831
0.252 0.504 0.340
0.705 0.914 0.217
0.209 0.914 0.217
0.748 0.496 0.660
0.791 0.086 0.783
0.295 0.086 0.783
0.719 0.439 0.215
0.281 0.561 0.785
0.500 0.000 0.500
```

Summary:
Symmetry: C2/m, No. 12
Crystal system: monoclinic
Uncorrected formation energy in eV/atom: -0.9443
Density in Mg/m³: 4.879

CsTlGeSe3 | GGA-PBE | optimized geometry

Cell and atoms, written as POSCAR:
```
CsTlGeSe3
1.0
-6.100 4.876 -0.259
-6.134 -3.556 3.283
-2.163 3.318 7.879
Cs Se Tl Ge
2 6 2 2
Direct
0.305 0.305 0.195
0.695 0.695 0.805
0.276 0.841 0.184
0.744 0.744 0.344
0.841 0.276 0.184
0.256 0.256 0.656
0.724 0.159 0.816
0.159 0.724 0.816
0.334 0.666 0.500
0.666 0.334 0.500
0.042 0.042 0.835
0.958 0.958 0.165
```

Summary:
Symmetry: C2/m, No. 12
Crystal system: monoclinic
Uncorrected formation energy in eV/atom: -0.5216
Density in Mg/m³: 4.820

CsTmGeSe4 | GGA-PBE | optimized geometry

Cell and atoms, written as POSCAR:
```
CsTmGeSe4
1.0
-0.150 1.023 6.636
-4.778 -5.253 0.702
7.004 -6.636 -1.995
Se Tm Ge Cs
8 2 2 2
Direct
0.571 0.250 0.812
0.017 0.993 0.692
0.983 0.007 0.308
0.453 0.750 0.579
0.547 0.250 0.421
0.017 0.507 0.692
0.429 0.750 0.188
0.983 0.493 0.308
0.222 0.250 0.547
0.778 0.750 0.453
0.776 0.250 0.658
0.224 0.750 0.342
0.249 0.250 0.058
0.751 0.750 0.942
```

Summary:
Symmetry: P2_1/m, No. 11
Crystal system: monoclinic
Uncorrected formation energy in eV/atom: -1.1231
Density in Mg/m³: 5.122

CsYGeSe3 | GGA-PBE | optimized geometry

Cell and atoms, written as POSCAR:
```
CsYGeSe3
1.0
-2.123 2.137 2.781
-6.150 2.356 -6.507
-2.878 -9.848 5.372
Se Ge Cs Y
6 2 2 2
Direct
0.750 0.876 0.224
0.250 0.596 0.899
0.250 0.124 0.776
0.750 0.320 0.583
0.750 0.404 0.101
0.250 0.680 0.417
0.250 0.126 0.562
0.750 0.874 0.438
0.750 0.766 0.723
0.250 0.234 0.277
0.250 0.634 0.154
0.750 0.366 0.846
```

Summary:
Symmetry: P2_1/m, No. 11
Crystal system: monoclinic
Uncorrected formation energy in eV/atom: -1.2702
Density in Mg/m³: 4.335

uncorrected formation energy of number 1 (CsTbGeSe3)? -1.2646 eV/atom